Record 1
First-principles (PBE) data for a relaxed KCd3Co crystal, as listed in Alexandria.

The structure in POSCAR format:
```
KCd3Co
1.0
-0.214 -5.129 -4.009
4.964 2.466 -3.420
4.211 -3.168 3.828
K Co Cd
1 1 3
Cartesian
0.000 0.000 0.000
4.481 -2.915 -1.800
2.482 1.233 -1.710
2.105 -1.584 1.914
-0.107 -2.564 -2.005
```

Output
For the energy above the most stable polymorph in this dataset, the calculation gives 1.112 eV per atom.


Record 2
First-principles (PBE) data for a relaxed KCdCo2 crystal, as listed in Alexandria.

The structure in POSCAR format:
```
KCdCo2
1.0
-1.028 9.211 4.627
-2.792 9.675 2.430
-3.756 8.383 4.788
Cd Co K
1 2 1
Cartesian
-5.682 20.451 8.883
-0.065 0.233 0.101
-3.723 13.401 5.821
-1.894 6.817 2.961
```


Record 3
First-principles (PBE) data for a relaxed KCdCo2 crystal, as listed in Alexandria.

The structure in POSCAR format:
```
KCdCo2
1.0
-4.843 -3.267 -1.656
-3.474 -2.669 4.204
2.356 4.820 -2.843
Cd Co K
1 2 1
Cartesian
-3.323 -0.708 -1.612
-8.088 -5.773 2.478
-4.387 -3.131 1.344
-2.638 -0.408 1.318
```


Record 4
First-principles (PBE) data for a relaxed KCdCo2 crystal, as listed in Alexandria.

The structure in POSCAR format:
```
KCdCo2
1.0
3.509 0.000 0.000
0.000 3.509 0.000
0.000 0.000 7.273
Cd Co K
1 2 1
Cartesian
1.755 1.755 5.455
0.000 0.000 6.544
0.000 0.000 4.366
1.755 1.755 1.818
```


Record 5
First-principles (PBE) data for a relaxed KCdCo2 crystal, as listed in Alexandria.

The structure in POSCAR format:
```
KCdCo2
1.0
-0.700 -5.193 -3.093
0.918 -5.329 2.789
-3.006 5.229 -0.803
Cd Co K
1 2 1
Cartesian
-1.790 -3.046 -2.037
0.006 -0.307 -0.009
-1.003 -2.057 0.935
0.106 -5.146 -0.149
```


Record 6
First-principles (PBE) data for a relaxed KCdCo2 crystal, as listed in Alexandria.

The structure in POSCAR format:
```
KCdCo2
1.0
5.201 -0.018 0.033
4.289 2.942 0.033
1.613 0.497 6.116
Cd Co K
1 2 1
Cartesian
2.985 0.920 0.689
0.311 0.096 0.095
7.857 2.421 5.275
5.503 1.695 3.214
```


Number 1: DFT formation energy 1.2475 eV/atom. Number 2: DFT formation energy 0.9015 eV/atom. Number 3: DFT formation energy 0.9684 eV/atom. Number 4: DFT formation energy 0.7609 eV/atom. Number 5: DFT formation energy 0.6783 eV/atom. Number 6: DFT formation energy 0.6202 eV/atom.